Record 1
# PBE-GGA AcUCrS6, relaxed
# - ΔE_f (raw): -1079 meV/atom
# - Mass density: 5.399 Mg/m³
data_AcUCrS6
_space_group_name_H-M_alt 'P 1'
_space_group_IT_number 1
_cell_length_a 5.856
_cell_length_b 6.559
_cell_length_c 6.559
_cell_angle_alpha 120.00
_cell_angle_beta 90.00
_cell_angle_gamma 90.00
loop_
_space_group_symop_operation_xyz
'x,y,z'
loop_
_atom_site_label
_atom_site_type_symbol
_atom_site_fract_x
_atom_site_fract_y
_atom_site_fract_z
_atom_site_occupancy
Ac1 Ac 0.500 0.667 0.333 1
U1 U 0.000 0.333 0.667 1
Cr1 Cr 0.500 0.000 0.000 1
S1 S 0.747 0.683 0.729 1
S2 S 0.747 0.271 0.954 1
S3 S 0.747 0.046 0.317 1
S4 S 0.253 0.271 0.317 1
S5 S 0.253 0.683 0.954 1
S6 S 0.253 0.046 0.729 1

Record 2
# PBE-GGA Ac2YCrS6, relaxed
# - ΔE_f (raw): -1612 meV/atom
# - Mass density: 5.351 Mg/m³
data_Ac2YCrS6
_space_group_name_H-M_alt 'P 1'
_space_group_IT_number 1
_cell_length_a 7.137
_cell_length_b 6.831
_cell_length_c 10.023
_cell_angle_alpha 90.00
_cell_angle_beta 90.00
_cell_angle_gamma 90.00
loop_
_space_group_symop_operation_xyz
'x,y,z'
loop_
_atom_site_label
_atom_site_type_symbol
_atom_site_fract_x
_atom_site_fract_y
_atom_site_fract_z
_atom_site_occupancy
Ac1 Ac 0.500 0.779 0.206 1
Ac2 Ac 0.000 0.221 0.706 1
Ac3 Ac 0.500 0.779 0.794 1
Ac4 Ac 0.000 0.221 0.294 1
Y1 Y 0.500 0.249 0.500 1
Y2 Y 0.000 0.751 0.000 1
Cr1 Cr 0.000 0.740 0.500 1
Cr2 Cr 0.500 0.260 0.000 1
S1 S 0.500 0.235 0.237 1
S2 S 0.500 0.235 0.763 1
S3 S 0.000 0.765 0.263 1
S4 S 0.000 0.765 0.737 1
S5 S 0.234 0.982 0.500 1
S6 S 0.766 0.982 0.500 1
S7 S 0.217 0.485 0.500 1
S8 S 0.783 0.485 0.500 1
S9 S 0.717 0.515 0.000 1
S10 S 0.283 0.515 0.000 1
S11 S 0.266 0.018 0.000 1
S12 S 0.734 0.018 0.000 1

Record 3
# PBE-GGA Ac2ZnCrS6, relaxed
# - ΔE_f (raw): -1333 meV/atom
# - Mass density: 5.781 Mg/m³
data_Ac2ZnCrS6
_space_group_name_H-M_alt 'P 1'
_space_group_IT_number 1
_cell_length_a 6.552
_cell_length_b 7.107
_cell_length_c 9.425
_cell_angle_alpha 90.00
_cell_angle_beta 89.73
_cell_angle_gamma 90.00
loop_
_space_group_symop_operation_xyz
'x,y,z'
loop_
_atom_site_label
_atom_site_type_symbol
_atom_site_fract_x
_atom_site_fract_y
_atom_site_fract_z
_atom_site_occupancy
Ac1 Ac 0.031 0.908 0.250 1
Ac2 Ac 0.531 0.592 0.750 1
Ac3 Ac 0.969 0.092 0.750 1
Ac4 Ac 0.469 0.408 0.250 1
Zn1 Zn 0.500 0.000 0.500 1
Zn2 Zn 0.000 0.500 0.000 1
Cr1 Cr 0.500 0.000 0.000 1
Cr2 Cr 0.000 0.500 0.500 1
S1 S 0.318 0.703 0.041 1
S2 S 0.818 0.797 0.541 1
S3 S 0.682 0.297 0.959 1
S4 S 0.182 0.203 0.459 1
S5 S 0.302 0.685 0.459 1
S6 S 0.802 0.815 0.959 1
S7 S 0.698 0.315 0.541 1
S8 S 0.198 0.185 0.041 1
S9 S 0.916 0.502 0.255 1
S10 S 0.416 0.998 0.755 1
S11 S 0.084 0.498 0.745 1
S12 S 0.584 0.002 0.245 1

Record 4
# PBE-GGA Ac3CrSb, relaxed
# - ΔE_f (raw): -50 meV/atom
# - Mass density: 8.544 Mg/m³
data_Ac3CrSb
_space_group_name_H-M_alt 'P 1'
_space_group_IT_number 1
_cell_length_a 5.497
_cell_length_b 5.497
_cell_length_c 5.497
_cell_angle_alpha 90.00
_cell_angle_beta 90.00
_cell_angle_gamma 90.00
loop_
_space_group_symop_operation_xyz
'x,y,z'
loop_
_atom_site_label
_atom_site_type_symbol
_atom_site_fract_x
_atom_site_fract_y
_atom_site_fract_z
_atom_site_occupancy
Sb1 Sb 0.500 0.500 0.500 1
Ac1 Ac 0.000 0.500 0.000 1
Ac2 Ac 0.000 0.000 0.500 1
Ac3 Ac 0.500 0.000 0.000 1
Cr1 Cr 0.000 0.000 0.000 1

Record 5
# PBE-GGA AcCrSb3, relaxed
# - ΔE_f (raw): -165 meV/atom
# - Mass density: 7.438 Mg/m³
# - Energy above the lowest structure with this stoichiometry: 299 meV/atom
data_AcCrSb3
_space_group_name_H-M_alt 'P 1'
_space_group_IT_number 1
_cell_length_a 5.239
_cell_length_b 5.239
_cell_length_c 5.239
_cell_angle_alpha 90.00
_cell_angle_beta 90.00
_cell_angle_gamma 90.00
loop_
_space_group_symop_operation_xyz
'x,y,z'
loop_
_atom_site_label
_atom_site_type_symbol
_atom_site_fract_x
_atom_site_fract_y
_atom_site_fract_z
_atom_site_occupancy
Sb1 Sb 0.000 0.500 0.000 1
Sb2 Sb 0.000 0.000 0.500 1
Sb3 Sb 0.500 0.000 0.000 1
Ac1 Ac 0.500 0.500 0.500 1
Cr1 Cr 0.000 0.000 0.000 1

Record 6
# PBE-GGA AcCrSb3, relaxed
# - ΔE_f (raw): -465 meV/atom
# - Mass density: 7.786 Mg/m³
# - Energy above the lowest structure with this stoichiometry: 0 meV/atom
data_AcCrSb3
_space_group_name_H-M_alt 'P 1'
_space_group_IT_number 1
_cell_length_a 6.272
_cell_length_b 6.356
_cell_length_c 13.786
_cell_angle_alpha 90.00
_cell_angle_beta 90.00
_cell_angle_gamma 90.00
loop_
_space_group_symop_operation_xyz
'x,y,z'
loop_
_atom_site_label
_atom_site_type_symbol
_atom_site_fract_x
_atom_site_fract_y
_atom_site_fract_z
_atom_site_occupancy
Ac1 Ac 0.750 0.497 0.693 1
Ac2 Ac 0.250 0.503 0.307 1
Ac3 Ac 0.750 0.997 0.307 1
Ac4 Ac 0.250 0.003 0.693 1
Cr1 Cr 0.500 0.250 0.088 1
Cr2 Cr 0.000 0.750 0.912 1
Cr3 Cr 0.500 0.750 0.912 1
Cr4 Cr 0.000 0.250 0.088 1
Sb1 Sb 0.000 0.250 0.499 1
Sb2 Sb 0.500 0.750 0.501 1
Sb3 Sb 0.000 0.750 0.501 1
Sb4 Sb 0.500 0.250 0.499 1
Sb5 Sb 0.250 0.098 0.941 1
Sb6 Sb 0.750 0.902 0.059 1
Sb7 Sb 0.250 0.598 0.059 1
Sb8 Sb 0.750 0.402 0.941 1
Sb9 Sb 0.250 0.502 0.794 1
Sb10 Sb 0.750 0.498 0.206 1
Sb11 Sb 0.250 0.002 0.206 1
Sb12 Sb 0.750 0.998 0.794 1

Record 7
# PBE-GGA Ac2ScCrSe6, relaxed
# - ΔE_f (raw): -1578 meV/atom
# - Mass density: 6.552 Mg/m³
data_Ac2ScCrSe6
_space_group_name_H-M_alt 'P 1'
_space_group_IT_number 1
_cell_length_a 6.871
_cell_length_b 7.514
_cell_length_c 10.062
_cell_angle_alpha 90.00
_cell_angle_beta 90.61
_cell_angle_gamma 90.00
loop_
_space_group_symop_operation_xyz
'x,y,z'
loop_
_atom_site_label
_atom_site_type_symbol
_atom_site_fract_x
_atom_site_fract_y
_atom_site_fract_z
_atom_site_occupancy
Ac1 Ac 0.034 0.904 0.249 1
Ac2 Ac 0.534 0.596 0.749 1
Ac3 Ac 0.966 0.096 0.751 1
Ac4 Ac 0.466 0.404 0.251 1
Sc1 Sc 0.500 0.000 0.000 1
Sc2 Sc 0.000 0.500 0.500 1
Cr1 Cr 0.500 0.000 0.500 1
Cr2 Cr 0.000 0.500 0.000 1
Se1 Se 0.310 0.685 0.046 1
Se2 Se 0.810 0.815 0.546 1
Se3 Se 0.690 0.315 0.954 1
Se4 Se 0.190 0.185 0.454 1
Se5 Se 0.323 0.698 0.453 1
Se6 Se 0.823 0.802 0.953 1
Se7 Se 0.677 0.302 0.547 1
Se8 Se 0.177 0.198 0.047 1
Se9 Se 0.905 0.509 0.243 1
Se10 Se 0.405 0.991 0.743 1
Se11 Se 0.095 0.491 0.757 1
Se12 Se 0.595 0.009 0.257 1

Record 8
# PBE-GGA AcCrSe4, relaxed
# - ΔE_f (raw): -910 meV/atom
# - Mass density: 6.500 Mg/m³
data_AcCrSe4
_space_group_name_H-M_alt 'P 1'
_space_group_IT_number 1
_cell_length_a 5.896
_cell_length_b 7.961
_cell_length_c 8.025
_cell_angle_alpha 117.12
_cell_angle_beta 108.25
_cell_angle_gamma 96.28
loop_
_space_group_symop_operation_xyz
'x,y,z'
loop_
_atom_site_label
_atom_site_type_symbol
_atom_site_fract_x
_atom_site_fract_y
_atom_site_fract_z
_atom_site_occupancy
Ac1 Ac 0.365 0.615 0.230 1
Ac2 Ac 0.635 0.385 0.770 1
Cr1 Cr 0.215 0.965 0.931 1
Cr2 Cr 0.785 0.035 0.069 1
Se1 Se 0.131 0.207 0.810 1
Se2 Se 0.765 0.760 0.711 1
Se3 Se 0.178 0.603 0.810 1
Se4 Se 0.447 0.951 0.711 1
Se5 Se 0.553 0.049 0.289 1
Se6 Se 0.822 0.397 0.190 1
Se7 Se 0.235 0.240 0.289 1
Se8 Se 0.869 0.793 0.190 1

- Which value of mass density does entry 1 give?
  5.399 Mg/m³